Compound: CdTeCN2
Source: Alexandria via LeMat-Bulk
Functional: PBE-GGA
Structure: optimized geometry

It has space group P4/mmm (No. 123), with a = 4.0833 Å, b = 4.0833 Å, c = 6.7809 Å, α = 90.00°, β = 90.00° and γ = 90.00°. The asymmetric unit holds Cd at (0.0000, 0.0000, 0.0000), Te at (0.0000, 0.0000, 0.5000), C at (0.5000, 0.5000, 0.5000) and N at (0.0000, 0.5000, 0.0000).

The calculation puts the distance to the lowest polymorph of the same formula at 512.0 meV per atom. Its total energy is -15.7 eV/f.u. The uncorrected formation energy is 65.4 kcal/mol of atoms. For the density of states at the Fermi level, the calculation gives 3.15 states/eV/cell. Its volume is 113.1 Å³/f.u.

=====

Compound: CdTeCN2
Source: Alexandria via LeMat-Bulk
Functional: PBE-GGA
Structure: optimized geometry

It has space group P4/mmm (No. 123), with a = 3.9910 Å, b = 3.9910 Å, c = 4.6446 Å, α = 90.00°, β = 90.00° and γ = 90.00°. The asymmetric unit holds Cd at (0.0000, 0.0000, 0.0000), Te at (0.5000, 0.5000, 0.0000), C at (0.5000, 0.5000, 0.5000) and N at (0.0000, 0.5000, 0.5000).

The calculation puts the distance to the lowest polymorph of the same formula at 0.0 meV per atom. Its total energy is -18.3 eV/f.u. The uncorrected formation energy is 53.6 kcal/mol of atoms. For the density of states at the Fermi level, the calculation gives 2.43 states/eV/cell. Its volume is 74.0 Å³/f.u.

=====

Compound: VCdCN2
Source: Alexandria via LeMat-Bulk
Functional: PBE-GGA
Structure: optimized geometry

It has space group P4/mmm (No. 123), with a = 3.6305 Å, b = 3.6305 Å, c = 6.2717 Å, α = 90.00°, β = 90.00° and γ = 90.00°. The asymmetric unit holds V at (0.0000, 0.0000, 0.0000), Cd at (0.0000, 0.0000, 0.5000), C at (0.5000, 0.5000, 0.5000) and N at (0.0000, 0.5000, 0.0000).

Its total energy is -28.2 eV/f.u. The uncorrected formation energy is 35.6 kcal/mol of atoms. For the density of states at the Fermi level, the calculation gives 3.33 states/eV/cell. Its volume is 82.7 Å³/f.u.

=====

Compound: NaCd3C
Source: Alexandria via LeMat-Bulk
Functional: PBE-GGA
Structure: optimized geometry

It has space group Pm-3m (No. 221), with a = 5.8549 Å, b = 5.8549 Å, c = 5.8549 Å, α = 90.00°, β = 90.00° and γ = 90.00°. The asymmetric unit holds Na at (0.0000, 0.0000, 0.0000), Cd at (0.0000, 0.0000, 0.5000) and C at (0.5000, 0.5000, 0.5000).

The calculation puts the distance to the lowest polymorph of the same formula at 981.9 meV per atom. Its total energy is -4.8 eV/f.u. For the density of states at the Fermi level, the calculation gives 5.26 states/eV/cell. For the formation energy, the calculation gives 1.7006 eV per atom. Its volume is 200.7 Å³/f.u.

=====

Compound: NaCd3C
Source: Alexandria via LeMat-Bulk
Functional: PBE-GGA
Structure: optimized geometry

It has space group Pm-3m (No. 221), with a = 4.7623 Å, b = 4.7623 Å, c = 4.7623 Å, α = 90.00°, β = 90.00° and γ = 90.00°. The asymmetric unit holds Na at (0.0000, 0.0000, 0.0000), Cd at (0.0000, 0.5000, 0.5000) and C at (0.5000, 0.5000, 0.5000).

The calculation puts the distance to the lowest polymorph of the same formula at 0.0 meV per atom. Its total energy is -9.7 eV/f.u. For the density of states at the Fermi level, the calculation gives 2.56 states/eV/cell. For the formation energy, the calculation gives 0.7187 eV per atom. Its volume is 108.0 Å³/f.u.

=====

Compound: NaCd2C2O6
Source: Alexandria via LeMat-Bulk
Functional: PBE-GGA
Structure: optimized geometry

It has space group P-1 (No. 2), with a = 5.2755 Å, b = 5.4282 Å, c = 6.4649 Å, α = 66.36°, β = 76.33° and γ = 68.09°. The asymmetric unit holds Na at (0.0000, 0.0000, 0.0000), Cd at (0.2407, 0.6492, 0.5744), C at (0.3121, 0.2581, 0.2523), O at (0.1560, 0.5013, 0.2748), O at (0.1809, 0.0870, 0.2644) and O at (0.4257, 0.8154, 0.7716).

Its total energy is -65.5 eV/f.u. The uncorrected formation energy is -29.7 kcal/mol of atoms. For the density of states at the Fermi level, the calculation gives 1.50 states/eV/cell. Its volume is 156.5 Å³/f.u.

=====

Compound: Na3CdPCO7
Source: Alexandria via LeMat-Bulk
Functional: PBE-GGA
Structure: optimized geometry

It has space group P2_1/m (No. 11), with a = 5.2598 Å, b = 6.9762 Å, c = 9.1999 Å, α = 90.00°, β = 90.05° and γ = 90.00°. The asymmetric unit holds Na at (0.2418, 0.2500, 0.4162), Na at (0.2425, 0.5013, 0.7558), Cd at (0.2309, 0.7500, 0.1317), P at (0.2939, 0.2500, 0.0928), C at (0.2639, 0.7500, 0.4409), O at (0.0380, 0.7500, 0.3827), O at (0.1958, 0.2500, 0.9332), O at (0.2014, 0.0726, 0.1811), O at (0.2913, 0.7500, 0.5810), O at (0.4083, 0.7500, 0.9117) and O at (0.4654, 0.7500, 0.3572).

Its total energy is -78.8 eV/f.u. The uncorrected formation energy is -43.6 kcal/mol of atoms. For the density of states at the Fermi level, the calculation gives 0.00 states/eV/cell. Its volume is 168.8 Å³/f.u.

=====

Compound: NaCdC2S
Source: Alexandria via LeMat-Bulk
Functional: PBE-GGA
Structure: optimized geometry

It has space group P4/mmm (No. 123), with a = 4.2693 Å, b = 4.2693 Å, c = 5.7259 Å, α = 90.00°, β = 90.00° and γ = 90.00°. The asymmetric unit holds Na at (0.0000, 0.0000, 0.0000), Cd at (0.0000, 0.0000, 0.5000), C at (0.0000, 0.5000, 0.5000) and S at (0.5000, 0.5000, 0.0000).

Its total energy is -13.8 eV/f.u. The uncorrected formation energy is 50.8 kcal/mol of atoms. For the density of states at the Fermi level, the calculation gives 3.42 states/eV/cell. Its volume is 104.4 Å³/f.u.